DFT (PBE) results for BaHfO3 after structural relaxation.

Cell lengths 4.163, 4.163, 4.163 Å; angles 90.00, 90.00, 90.00 degrees
Sites, in units of the cell vectors:
Ba 0.000 0.000 0.000
Hf 0.500 0.500 0.500
O 0.000 0.500 0.500
O 0.500 0.000 0.500
O 0.500 0.500 0.000

Properties
total DFT energy (no corrections): -8.711 eV/atom

***

DFT (PBE) results for BaHf7O15 after structural relaxation.

Cell lengths 7.334, 7.445, 10.308 Å; angles 87.04, 89.40, 89.01 degrees
Sites, in units of the cell vectors:
Ba 0.000 0.000 0.000
Ba 0.010 0.568 0.466
Hf 0.007 0.074 0.476
Hf 0.233 0.788 0.729
Hf 0.273 0.798 0.232
Hf 0.277 0.258 0.744
Hf 0.279 0.307 0.211
Hf 0.483 0.001 0.467
Hf 0.500 0.522 0.957
Hf 0.504 0.990 0.968
Hf 0.514 0.534 0.465
Hf 0.726 0.745 0.200
Hf 0.727 0.248 0.729
Hf 0.744 0.249 0.238
Hf 0.751 0.782 0.729
Hf 0.984 0.486 0.941
O 0.011 0.278 0.819
O 0.033 0.266 0.317
O 0.219 0.958 0.376
O 0.222 0.479 0.051
O 0.254 0.110 0.586
O 0.264 0.525 0.801
O 0.271 0.008 0.840
O 0.299 0.542 0.320
O 0.304 0.060 0.121
O 0.347 0.719 0.561
O 0.452 0.747 0.084
O 0.476 0.239 0.359
O 0.484 0.257 0.880
O 0.498 0.356 0.622
O 0.501 0.768 0.838
O 0.522 0.797 0.338
O 0.536 0.363 0.124
O 0.622 0.009 0.633
O 0.685 0.009 0.127
O 0.703 0.658 0.566
O 0.723 0.506 0.322
O 0.728 0.496 0.816
O 0.736 0.020 0.852
O 0.765 0.636 0.029
O 0.766 0.035 0.383
O 0.897 0.274 0.578
O 0.902 0.306 0.081
O 0.993 0.862 0.615
O 0.995 0.736 0.839
O 0.998 0.767 0.219

Properties
excess energy over the best structure of this formula in the dataset: 10 meV/atom

***

| no. | M_tot (μB/f.u.) |
| --- | --- |
| 1 | 0.00 |
| 2 | 0.00 |